Entry 1:
{"formula": "TiMnAsO6", "functional": "PBE with a Hubbard U", "state": "relaxed", "total_energy_ev_per_atom": -7.33, "sg": "P-31c (163)", "cell": [[4.9899, 0.0000, 0.0000], [-2.4949, 4.3213, 0.0000], [0.0000, 0.0000, 8.8543]], "species": ["Ti", "Ti", "Mn", "Mn", "As", "As", "O", "O", "O", "O", "O", "O", "O", "O", "O", "O", "O", "O"], "fractional_positions": [[0.3333, 0.6667, 0.2500], [0.6667, 0.3333, 0.7500], [0.0000, 0.0000, 0.0000], [0.0000, 0.0000, 0.5000], [0.3333, 0.6667, 0.7500], [0.6667, 0.3333, 0.2500], [0.0161, 0.3612, 0.6344], [0.0161, 0.6549, 0.8656], [0.3451, 0.3612, 0.8656], [0.3451, 0.9839, 0.6344], [0.3612, 0.0161, 0.1344], [0.3612, 0.3451, 0.3656], [0.6388, 0.6549, 0.6344], [0.6388, 0.9839, 0.8656], [0.6549, 0.0161, 0.3656], [0.6549, 0.6388, 0.1344], [0.9839, 0.3451, 0.1344], [0.9839, 0.6388, 0.3656]]}

---

Entry 2:
{"formula": "MnTl3As2O8", "functional": "PBE with a Hubbard U", "state": "relaxed", "total_energy_ev_per_atom": -5.64, "sg": "P-3m1 (164)", "cell": [[5.7895, 0.0000, 0.0000], [-2.8948, 5.0139, 0.0000], [0.0000, 0.0000, 8.0166]], "species": ["Mn", "Tl", "Tl", "Tl", "As", "As", "O", "O", "O", "O", "O", "O", "O", "O"], "fractional_positions": [[0.0000, 0.0000, 0.0000], [0.0000, 0.0000, 0.5000], [0.3333, 0.6667, 0.2459], [0.6667, 0.3333, 0.7541], [0.3333, 0.6667, 0.7785], [0.6667, 0.3333, 0.2215], [0.1679, 0.3358, 0.8413], [0.1679, 0.8321, 0.8413], [0.3333, 0.6667, 0.5657], [0.3358, 0.1679, 0.1587], [0.6642, 0.8321, 0.8413], [0.6667, 0.3333, 0.4343], [0.8321, 0.1679, 0.1587], [0.8321, 0.6642, 0.1587]]}

---

Entry 3:
{"formula": "MnTl3As2O6", "functional": "PBE with a Hubbard U", "state": "relaxed", "total_energy_ev_per_atom": -5.53, "sg": "P-3m1 (164)", "cell": [[5.9141, 0.0000, 0.0000], [-2.9571, 5.1218, 0.0000], [0.0000, 0.0000, 7.2013]], "species": ["Mn", "Tl", "Tl", "Tl", "As", "As", "O", "O", "O", "O", "O", "O"], "fractional_positions": [[0.0000, 0.0000, 0.0000], [0.0000, 0.0000, 0.5000], [0.3333, 0.6667, 0.1934], [0.6667, 0.3333, 0.8066], [0.3333, 0.6667, 0.7286], [0.6667, 0.3333, 0.2714], [0.1731, 0.3463, 0.8256], [0.1731, 0.8269, 0.8256], [0.3463, 0.1731, 0.1744], [0.6537, 0.8269, 0.8256], [0.8269, 0.1731, 0.1744], [0.8269, 0.6537, 0.1744]]}

---

Entry 4:
{"formula": "Mn2Tl2AsO6", "functional": "PBE with a Hubbard U", "state": "relaxed", "total_energy_ev_per_atom": -5.90, "sg": "C2/m (12)", "cell": [[2.5529, -4.4091, 0.0000], [2.5529, 4.4091, 0.0000], [-0.3434, 0.0000, 7.4417]], "species": ["Mn", "Mn", "Tl", "Tl", "As", "O", "O", "O", "O", "O", "O"], "fractional_positions": [[0.1652, 0.8348, 0.0000], [0.8348, 0.1652, 0.0000], [0.3334, 0.6666, 0.5000], [0.6666, 0.3334, 0.5000], [0.5000, 0.5000, 0.0000], [0.1734, 0.1734, 0.8689], [0.1909, 0.5117, 0.1327], [0.4883, 0.8091, 0.8673], [0.5117, 0.1909, 0.1327], [0.8091, 0.4883, 0.8673], [0.8266, 0.8266, 0.1311]]}

---

Entry 5:
{"formula": "U2MnAs2O24", "functional": "PBE with a Hubbard U", "state": "relaxed", "total_energy_ev_per_atom": -6.44, "sg": "P-1 (2)", "cell": [[7.1720, 0.0000, 0.0000], [0.0524, 7.2026, 0.0000], [2.3793, 2.2788, 9.3628]], "species": ["U", "U", "Mn", "As", "As", "O", "O", "O", "O", "O", "O", "O", "O", "O", "O", "O", "O", "O", "O", "O", "O", "O", "O", "O", "O", "O", "O", "O", "O"], "fractional_positions": [[0.2161, 0.2195, 0.1074], [0.7839, 0.7805, 0.8926], [0.0000, 0.0000, 0.5000], [0.2508, 0.7500, 0.0005], [0.7492, 0.2500, 0.9995], [0.0920, 0.7759, 0.8928], [0.1025, 0.8064, 0.4512], [0.1251, 0.5285, 0.6092], [0.1379, 0.1467, 0.3158], [0.2125, 0.9146, 0.1033], [0.2189, 0.5267, 0.1135], [0.2529, 0.0396, 0.5961], [0.2849, 0.2897, 0.9123], [0.2915, 0.5732, 0.6304], [0.3991, 0.4355, 0.6583], [0.4126, 0.1044, 0.5201], [0.4768, 0.7869, 0.8872], [0.5232, 0.2131, 0.1128], [0.5874, 0.8956, 0.4799], [0.6009, 0.5645, 0.3417], [0.7085, 0.4268, 0.3696], [0.7151, 0.7103, 0.0877], [0.7471, 0.9604, 0.4039], [0.7811, 0.4733, 0.8865], [0.7875, 0.0854, 0.8967], [0.8621, 0.8533, 0.6842], [0.8749, 0.4715, 0.3908], [0.8975, 0.1936, 0.5488], [0.9080, 0.2241, 0.1072]]}

---

Entry 6:
{"formula": "UMnAsO6", "functional": "PBE with a Hubbard U", "state": "relaxed", "total_energy_ev_per_atom": -7.94, "sg": "P4_2nm (102)", "cell": [[4.9167, 0.0000, 0.0000], [0.0000, 4.9167, 0.0000], [0.0000, 0.0000, 9.8465]], "species": ["U", "U", "Mn", "Mn", "As", "As", "O", "O", "O", "O", "O", "O", "O", "O", "O", "O", "O", "O"], "fractional_positions": [[0.0000, 0.0000, 0.0000], [0.5000, 0.5000, 0.5000], [0.0000, 0.0000, 0.3377], [0.5000, 0.5000, 0.8377], [0.0000, 0.0000, 0.6447], [0.5000, 0.5000, 0.1447], [0.1824, 0.1824, 0.5065], [0.1884, 0.1884, 0.1590], [0.2139, 0.2139, 0.8543], [0.2861, 0.7139, 0.3543], [0.3116, 0.6884, 0.6590], [0.3176, 0.6824, 0.0065], [0.6824, 0.3176, 0.0065], [0.6884, 0.3116, 0.6590], [0.7139, 0.2861, 0.3543], [0.7861, 0.7861, 0.8543], [0.8116, 0.8116, 0.1590], [0.8176, 0.8176, 0.5065]]}